No. 1
Here is a geometry-optimized BaTiMnW2 structure from the Alexandria database. Energies are from GGA-PBE.

a b c (Å): 4.8245 4.7634 4.8245
angles (deg): 90.00 90.00 90.00
Last column: magnetic moment on the atom in μB.
Fractional coordinates of all 5 atoms:
Mn 0.0000 0.5000 0.0000  -0.69
Ba 0.5000 0.5000 0.5000  -0.01
W 0.0000 0.0000 0.5000  0.01
W 0.5000 0.0000 0.0000  -0.06
Ti 0.0000 0.0000 0.0000  0.07

Values from the calculation:
Total energy in eV per cell: -36.120
Density of states at the Fermi level in states/eV per atom: 1.496

***

No. 2
Here is a geometry-optimized Ba2MnTl structure from the Alexandria database. Energies are from GGA-PBE.

a b c (Å): 3.9755 3.9754 9.6912
angles (deg): 90.00 90.00 90.00
Last column: magnetic moment on the atom in μB.
Fractional coordinates of all 4 atoms:
Ba 0.0000 0.0000 0.9283  -0.02
Ba 0.5000 0.5000 0.3226  -0.07
Mn 0.0000 0.0000 0.5644  3.96
Tl 0.5000 0.5000 0.6847  -0.06

Values from the calculation:
Total energy in eV per cell: -14.534
Density of states at the Fermi level in states/eV per atom: 1.210

***

No. 3
Here is a geometry-optimized BaMnTl2 structure from the Alexandria database. Energies are from GGA-PBE.

a b c (Å): 5.5363 5.5363 5.5363
angles (deg): 60.00 60.00 60.00
Last column: magnetic moment on the atom in μB.
Fractional coordinates of all 4 atoms:
Tl 0.2500 0.2500 0.2500  -0.01
Tl 0.7500 0.7500 0.7500  -0.01
Mn 0.0000 0.0000 0.0000  4.23
Ba 0.5000 0.5000 0.5000  -0.01

Values from the calculation:
Total energy in eV per cell: -15.240
Density of states at the Fermi level in states/eV per atom: 0.990

***

no.,spin magnetization (μB per formula unit)
1,0.72
2,3.83
3,4.55